TaMnTeO2 | PBE+U | relaxed

**Calculated volume**: 94 Å³/f.u.
**Calculated total energy**: -39.1 eV/cell

a b c (Å): 3.9741 3.9741 5.9778
angles (deg): 90.00 90.00 90.00
Last column: nearest neighbours and their distance in Å.
Fractional positions:
Ta1 0.0000 0.0000 0.0000  4 O 1.99
Mn1 0.5000 0.5000 0.5000  4 Te 2.81
Te1 0.0000 0.0000 0.5000  4 Mn 2.81, 2 Ta 2.99
O1 0.0000 0.5000 0.0000  2 Ta 1.99
O2 0.5000 0.0000 0.0000  2 Ta 1.99